Material: Pm4Al3Cu
Method: DFT, GGA-PBE
State: relaxed

Values from the calculation:
formation energy from the elements = -296 meV per atom
DOS(E_F) = 0.915 states/eV per atom
energy relative to the lowest polymorph listed for this composition = 0.118 eV per formula unit
total magnetic moment = 0.00 Bohr magnetons per cell

a = 3.7154 Å, b = 4.5318 Å, c = 12.0467 Å
α = 90.00°, β = 90.00°, γ = 90.00°
With the nearest neighbours (Å) after each atom.
Element x y z (fractional)
Pm 0.0000 0.0000 0.0000  2 Cu 3.10, 4 Al 3.11
Pm 0.0000 0.5000 0.2940  4 Cu 3.11, 3 Al 3.12-3.45
Pm 0.5000 0.0000 0.4860  6 Al 3.14-3.26, 1 Cu 3.37
Pm 0.5000 0.5000 0.8013  7 Al 3.14-3.42
Al 0.0000 0.0000 0.7084  2 Al 2.74
Al 0.0000 0.5000 0.5804  2 Al 2.74
Al 0.5000 0.5000 0.0856  2 Cu 2.69
Cu 0.5000 0.0000 0.2065  2 Al 2.69

---

Material: FePb
Method: DFT, GGA-PBE
State: relaxed

Values from the calculation:
formation energy from the elements = 625 meV per atom
DOS(E_F) = 1.013 states/eV per atom
total magnetic moment = 9.49 Bohr magnetons per cell

a = 5.3732 Å, b = 5.3732 Å, c = 5.3732 Å
α = 90.00°, β = 90.00°, γ = 90.00°
With the nearest neighbours (Å) after each atom.
Element x y z (fractional)
Fe 0.1103 0.3897 0.6103  7 Pb 2.77-2.99
Fe 0.3897 0.6103 0.1103  7 Pb 2.77-2.99
Fe 0.6103 0.1103 0.3897  7 Pb 2.77-2.99
Fe 0.8897 0.8897 0.8897  7 Pb 2.77-2.99
Pb 0.0921 0.9079 0.4079  7 Fe 2.77-2.99
Pb 0.4079 0.0921 0.9079  7 Fe 2.77-2.99
Pb 0.5921 0.5921 0.5921  7 Fe 2.77-2.99
Pb 0.9079 0.4079 0.0921  7 Fe 2.77-2.99

---

Material: KGa2PdAu
Method: DFT, GGA-PBE
State: relaxed

Values from the calculation:
formation energy from the elements = -216 meV per atom
DOS(E_F) = 0.362 states/eV per atom
total magnetic moment = 0.00 Bohr magnetons per cell

a = 4.8150 Å, b = 4.8150 Å, c = 5.4457 Å
α = 90.00°, β = 90.00°, γ = 90.00°
With the nearest neighbours (Å) after each atom.
Element x y z (fractional)
K 0.0000 0.0000 0.0000  4 Au 3.40, 8 Ga 3.63
Ga 0.0000 0.5000 0.5000  2 Pd 2.41
Ga 0.5000 0.0000 0.5000  2 Pd 2.41
Pd 0.5000 0.5000 0.5000  4 Ga 2.41
Au 0.5000 0.5000 0.0000  2 Pd 2.72

---

Material: LiTaZn2
Method: DFT, GGA-PBE
State: relaxed

Values from the calculation:
formation energy from the elements = 113 meV per atom
DOS(E_F) = 0.483 states/eV per atom
energy relative to the lowest polymorph listed for this composition = 0.720 eV per formula unit
total magnetic moment = 0.00 Bohr magnetons per cell

a = 2.6984 Å, b = 2.6984 Å, c = 9.2051 Å
α = 90.00°, β = 90.00°, γ = 106.72°
With the nearest neighbours (Å) after each atom.
Element x y z (fractional)
Li 0.0000 0.0000 0.0000  2 Zn 2.69, 4 Li 2.70, 2 Ta 3.01
Ta 0.5000 0.5000 0.2759  4 Ta 2.70, 2 Zn 2.82, 2 Li 3.01
Zn 0.0000 0.0000 0.5274  6 Zn 2.70-2.72, 2 Ta 2.82
Zn 0.5000 0.5000 0.7661  2 Li 2.69, 6 Zn 2.70-2.72

---

Material: Pb2W
Method: DFT, GGA-PBE
State: relaxed

Values from the calculation:
formation energy from the elements = 765 meV per atom
DOS(E_F) = 0.562 states/eV per atom
energy relative to the lowest polymorph listed for this composition = 0.549 eV per formula unit
total magnetic moment = 0.00 Bohr magnetons per cell

a = 9.5738 Å, b = 9.5738 Å, c = 5.1983 Å
α = 90.00°, β = 90.00°, γ = 161.36°
With the nearest neighbours (Å) after each atom.
Element x y z (fractional)
Pb 0.0810 0.9190 0.7500  6 Pb 3.10-3.24, 2 W 3.13
Pb 0.3571 0.6429 0.7500  4 W 2.94-3.02, 6 Pb 3.10-3.24
Pb 0.6429 0.3571 0.2500  4 W 2.94-3.02, 6 Pb 3.10-3.24
Pb 0.9190 0.0810 0.2500  6 Pb 3.10-3.24, 2 W 3.13
W 0.2753 0.7247 0.2500  6 Pb 2.94-3.13, 6 W 3.10-3.17
W 0.7247 0.2753 0.7500  6 Pb 2.94-3.13, 6 W 3.10-3.17

---

Material: HfTcN2F
Method: DFT, GGA-PBE
State: relaxed

Values from the calculation:
DOS(E_F) = 0.292 states/eV per atom
raw formation energy = -0.2038 eV/atom
energy relative to the lowest polymorph listed for this composition = 0.000 eV per formula unit
total magnetic moment = 4.09 Bohr magnetons per cell

a = 4.2367 Å, b = 4.2367 Å, c = 3.9818 Å
α = 90.00°, β = 90.00°, γ = 90.00°
With the nearest neighbours (Å) after each atom.
Element x y z (fractional)
Hf 0.0000 0.0000 0.0000  2 F 1.99, 4 N 2.12
Tc 0.5000 0.5000 0.5000  8 N 2.91, 4 F 3.00
N 0.0000 0.5000 0.0000  2 Hf 2.12
N 0.5000 0.0000 0.0000  2 Hf 2.12
F 0.0000 0.0000 0.5000  2 Hf 1.99

---

Material: Pu2Ga3Tc
Method: DFT, GGA-PBE
State: relaxed

Values from the calculation:
formation energy from the elements = 77 meV per atom
DOS(E_F) = 2.336 states/eV per atom
energy relative to the lowest polymorph listed for this composition = 2.426 eV per formula unit
total magnetic moment = 11.93 Bohr magnetons per cell

a = 8.2922 Å, b = 8.2922 Å, c = 8.2922 Å
α = 160.28°, β = 140.36°, γ = 44.64°
With the nearest neighbours (Å) after each atom.
Element x y z (fractional)
Pu 0.1801 0.1801 0.0000  2 Pu 2.84, 6 Ga 2.88-3.11
Pu 0.8199 0.8199 0.0000  2 Pu 2.84, 6 Ga 2.88-3.11
Ga 0.0000 0.5000 0.5000  2 Tc 2.81, 2 Ga 2.84, 4 Pu 3.11
Ga 0.3600 0.8600 0.5000  2 Tc 2.57, 2 Ga 2.84, 2 Pu 2.88
Ga 0.6400 0.1400 0.5000  2 Tc 2.57, 2 Ga 2.84, 2 Pu 2.88
Tc 0.5000 0.5000 0.0000  6 Ga 2.57-2.81, 2 Tc 2.84

---

Material: LaMg4Mo
Method: DFT, GGA-PBE
State: relaxed

Values from the calculation:
formation energy from the elements = 305 meV per atom
DOS(E_F) = 0.651 states/eV per atom
total magnetic moment = 2.86 Bohr magnetons per cell

a = 5.8205 Å, b = 5.8205 Å, c = 5.8205 Å
α = 60.00°, β = 60.00°, γ = 60.00°
With the nearest neighbours (Å) after each atom.
Element x y z (fractional)
La 0.0000 0.0000 0.0000  12 Mg 3.42, 4 Mo 3.56
Mg 0.1287 0.6238 0.6238  6 Mg 2.88-2.94
Mg 0.6238 0.1287 0.6238  6 Mg 2.88-2.94
Mg 0.6238 0.6238 0.1287  6 Mg 2.88-2.94
Mg 0.6238 0.6238 0.6238  6 Mg 2.88-2.94
Mo 0.2500 0.2500 0.2500  12 Mg 3.41, 4 La 3.56

---

Material: Sm12DyHo6
Method: DFT, GGA-PBE
State: relaxed

Values from the calculation:
formation energy from the elements = 142 meV per atom
DOS(E_F) = 1.720 states/eV per atom
energy relative to the lowest polymorph listed for this composition = 0.000 eV per formula unit
total magnetic moment = 0.00 Bohr magnetons per cell

a = 8.6026 Å, b = 8.6026 Å, c = 8.6026 Å
α = 88.86°, β = 88.86°, γ = 88.86°
With the nearest neighbours (Å) after each atom.
Element x y z (fractional)
Sm 0.0162 0.3611 0.1965  4 Sm 3.45-3.60, 4 Ho 3.52-3.70, 1 Dy 3.57
Sm 0.1965 0.0162 0.3611  4 Sm 3.45-3.60, 4 Ho 3.52-3.70, 1 Dy 3.57
Sm 0.2207 0.5665 0.4620  6 Sm 3.32-3.70, 3 Ho 3.33-3.48
Sm 0.3611 0.1965 0.0162  4 Sm 3.45-3.60, 4 Ho 3.52-3.70, 1 Dy 3.57
Sm 0.4335 0.5380 0.7793  6 Sm 3.32-3.70, 3 Ho 3.33-3.48
Sm 0.4620 0.2207 0.5665  6 Sm 3.32-3.70, 3 Ho 3.33-3.48
Sm 0.5380 0.7793 0.4335  6 Sm 3.32-3.70, 3 Ho 3.33-3.48
Sm 0.5665 0.4620 0.2207  6 Sm 3.32-3.70, 3 Ho 3.33-3.48
Sm 0.6389 0.8035 0.9838  4 Sm 3.45-3.60, 4 Ho 3.52-3.70, 1 Dy 3.57
Sm 0.7793 0.4335 0.5380  6 Sm 3.32-3.70, 3 Ho 3.33-3.48
Sm 0.8035 0.9838 0.6389  4 Sm 3.45-3.60, 4 Ho 3.52-3.70, 1 Dy 3.57
Sm 0.9838 0.6389 0.8035  4 Sm 3.45-3.60, 4 Ho 3.52-3.70, 1 Dy 3.57
Dy 0.0000 0.0000 0.0000  6 Ho 3.48, 6 Sm 3.57
Ho 0.0978 0.2595 0.6999  7 Sm 3.33-3.70, 1 Dy 3.48, 2 Ho 3.52
Ho 0.2595 0.6999 0.0978  7 Sm 3.33-3.70, 1 Dy 3.48, 2 Ho 3.52
Ho 0.3001 0.9022 0.7405  7 Sm 3.33-3.70, 1 Dy 3.48, 2 Ho 3.52
Ho 0.6999 0.0978 0.2595  7 Sm 3.33-3.70, 1 Dy 3.48, 2 Ho 3.52
Ho 0.7405 0.3001 0.9022  7 Sm 3.33-3.70, 1 Dy 3.48, 2 Ho 3.52
Ho 0.9022 0.7405 0.3001  7 Sm 3.33-3.70, 1 Dy 3.48, 2 Ho 3.52

---

Material: Mg3CdRh
Method: DFT, GGA-PBE
State: relaxed

Values from the calculation:
formation energy from the elements = -33 meV per atom
DOS(E_F) = 0.380 states/eV per atom
energy relative to the lowest polymorph listed for this composition = 1.178 eV per formula unit
total magnetic moment = 0.00 Bohr magnetons per cell

a = 4.9486 Å, b = 4.9486 Å, c = 4.9486 Å
α = 90.00°, β = 90.00°, γ = 90.00°
With the nearest neighbours (Å) after each atom.
Element x y z (fractional)
Mg 0.0000 0.0000 0.5000  2 Rh 2.47
Mg 0.0000 0.5000 0.0000  2 Rh 2.47
Mg 0.5000 0.0000 0.0000  2 Rh 2.47
Cd 0.5000 0.5000 0.5000  12 Mg 3.50
Rh 0.0000 0.0000 0.0000  6 Mg 2.47

---

Material: ErScIn4
Method: DFT, GGA-PBE
State: relaxed

Values from the calculation:
formation energy from the elements = -212 meV per atom
DOS(E_F) = 0.679 states/eV per atom
energy relative to the lowest polymorph listed for this composition = 0.000 eV per formula unit
total magnetic moment = 0.00 Bohr magnetons per cell

a = 5.9163 Å, b = 5.9163 Å, c = 5.9163 Å
α = 60.00°, β = 60.00°, γ = 60.00°
With the nearest neighbours (Å) after each atom.
Element x y z (fractional)
Er 0.0000 0.0000 0.0000  12 In 3.47, 4 Sc 3.62
Sc 0.2500 0.2500 0.2500  12 In 3.47, 4 Er 3.62
In 0.1253 0.6249 0.6249  6 In 2.96
In 0.6249 0.1253 0.6249  6 In 2.96
In 0.6249 0.6249 0.1253  6 In 2.96
In 0.6249 0.6249 0.6249  6 In 2.96

---

Material: Pr5Sm4Y
Method: DFT, GGA-PBE
State: relaxed

Values from the calculation:
formation energy from the elements = 13 meV per atom
DOS(E_F) = 1.466 states/eV per atom
energy relative to the lowest polymorph listed for this composition = 0.000 eV per formula unit
total magnetic moment = 0.00 Bohr magnetons per cell

a = 13.2211 Å, b = 13.2211 Å, c = 7.3254 Å
α = 97.92°, β = 97.92°, γ = 15.98°
With the nearest neighbours (Å) after each atom.
Element x y z (fractional)
Pr 0.0000 0.0000 0.0000  2 Y 3.66, 4 Sm 3.67, 6 Pr 3.67
Pr 0.2000 0.2000 0.1013  6 Sm 3.65-3.69, 6 Pr 3.67-3.68
Pr 0.4004 0.4004 0.6970  4 Sm 3.63-3.70, 2 Y 3.65, 6 Pr 3.67-3.68
Pr 0.5996 0.5996 0.3030  4 Sm 3.63-3.70, 2 Y 3.65, 6 Pr 3.67-3.68
Pr 0.8000 0.8000 0.8987  6 Sm 3.65-3.69, 6 Pr 3.67-3.68
Sm 0.1996 0.1996 0.5993  6 Pr 3.65-3.68, 6 Sm 3.66-3.68
Sm 0.4003 0.4003 0.2019  6 Pr 3.63-3.70, 2 Y 3.66, 4 Sm 3.66-3.67
Sm 0.5997 0.5997 0.7981  6 Pr 3.63-3.70, 2 Y 3.66, 4 Sm 3.66-3.67
Sm 0.8004 0.8004 0.4007  6 Pr 3.65-3.68, 6 Sm 3.66-3.68
Y 0.0000 0.0000 0.5000  6 Pr 3.65-3.66, 4 Sm 3.66, 2 Y 3.67